[1]
The following is a DFT calculation (PBEsol) of a relaxed structure of Rb3ZnF.

Output
- Total magnetization: 0.00 Bohr magnetons per cell
- Density: 3.17 g cm⁻³
- SG: Pm-3m, No. 221
- Energy relative to the elements, uncorrected: -0.886 eV/atom

Lattice parameters (Å, degrees): 5.629 5.629 5.629 90.00 90.00 90.00
Element x y z (fractional)
Zn  0.500  0.500  0.500
Rb  0.000  0.500  0.000
Rb  0.000  0.000  0.500
Rb  0.500  0.000  0.000
F  0.000  0.000  0.000

***

[2]
The following is a DFT calculation (PBEsol) of a relaxed structure of Cu2BrCl.

Output
- Total magnetization: 0.00 Bohr magnetons per cell
- Density: 5.23 g cm⁻³
- SG: R3m, No. 160
- Energy relative to the elements, uncorrected: -0.232 eV/atom
- Relative energy among the computed polymorphs: 47 meV/atom

Lattice parameters (Å, degrees): 3.678 3.678 6.909 74.56 74.56 60.00
Element x y z (fractional)
Br  0.467  0.467  0.600
Cu  0.001  0.001  0.997
Cu  0.744  0.744  0.769
Cl  0.288  0.288  0.135